No. 1
DFT (PBE-GGA) results for a relaxed AcNd4Sm2Ho crystal.

Output
The value obtained for the magnetization is 0.0 μB/f.u. Its symmetry is P2/m (10). The calculation puts the formation energy at 24 meV/atom.

```
AcNd4Sm2Ho
1.0
5.1979 0.0000 0.0000
0.0000 5.2197 0.0000
-0.0100 0.0000 10.4484
Ac Nd Sm Ho
1 4 2 1
direct
0.0000 0.0000 0.0000
0.9999 0.5000 0.2579
0.0001 0.5000 0.7421
0.5000 0.0000 0.2579
0.5000 0.0000 0.7421
0.0000 0.0000 0.5000
0.5000 0.5000 0.0000
0.5000 0.5000 0.5000
```

---

No. 2
DFT (PBE-GGA) results for a relaxed AcNdSmHo2 crystal.

Output
The value obtained for the magnetization is 0.0 μB/f.u. Its symmetry is Cmcm (63). The calculation puts the formation energy at 362 meV/atom.

```
AcNdSmHo2
1.0
3.2401 -8.7328 0.0000
3.2401 8.7328 0.0000
0.0000 0.0000 6.5637
Ac Nd Sm Ho
2 2 2 4
direct
0.1578 0.8422 0.7500
0.8422 0.1578 0.2500
0.3478 0.6522 0.7500
0.6522 0.3478 0.2500
0.2232 0.7768 0.2500
0.7768 0.2232 0.7500
0.2480 0.2480 0.0000
0.2480 0.2480 0.5000
0.7520 0.7520 0.0000
0.7520 0.7520 0.5000
```